<A>
VASP calculation (PBE-GGA) on KHgB3 after structural relaxation.

a b c (Å): 4.629 4.629 4.629
angles (deg): 90.00 90.00 90.00
Positions (direct):
K 0.500 0.500 0.500
B 0.000 0.500 0.000
B 0.000 0.000 0.500
B 0.500 0.000 0.000
Hg 0.000 0.000 0.000

Summary:
For the calculated volume, the calculation gives 99.2 Å³/cell. The space-group type is Pm-3m.

=====

<B>
VASP calculation (PBE-GGA) on KHgB3 after structural relaxation.

a b c (Å): 5.207 5.207 5.207
angles (deg): 90.00 90.00 90.00
Each line ends with the local moment (μB).
Positions (direct):
K 0.000 0.000 0.000  0.10
B 0.000 0.500 0.000  0.24
B 0.000 0.000 0.500  0.20
B 0.500 0.000 0.000  0.39
Hg 0.500 0.500 0.500  0.03

Summary:
For the calculated volume, the calculation gives 141.1 Å³/cell. The space-group type is Pm-3m.

=====

Most stable: <A>

=====

<A>
VASP calculation (PBE-GGA) on LaHg3B after structural relaxation.

a b c (Å): 6.166 6.166 6.166
angles (deg): 90.00 90.00 90.00
Each line ends with the local moment (μB).
Positions (direct):
B 0.500 0.500 0.500  0.33
Hg 0.000 0.500 0.000  0.06
Hg 0.000 0.000 0.500  0.02
Hg 0.500 0.000 0.000  0.12
La 0.000 0.000 0.000  0.41

Summary:
For the calculated volume, the calculation gives 234.5 Å³/cell. The space-group type is Pm-3m.

=====

<B>
VASP calculation (PBE-GGA) on LaHg3B after structural relaxation.

a b c (Å): 4.842 4.842 4.842
angles (deg): 90.00 90.00 90.00
Positions (direct):
B 0.000 0.000 0.000
Hg 0.000 0.500 0.000
Hg 0.000 0.000 0.500
Hg 0.500 0.000 0.000
La 0.500 0.500 0.500

Summary:
For the calculated volume, the calculation gives 113.5 Å³/cell. The space-group type is Pm-3m.

=====

Most stable: <B>

=====

<A>
VASP calculation (PBE-GGA) on LiHg3B after structural relaxation.

a b c (Å): 4.716 4.716 4.716
angles (deg): 90.00 90.00 90.00
Positions (direct):
B 0.000 0.000 0.000
Hg 0.000 0.500 0.000
Hg 0.000 0.000 0.500
Hg 0.500 0.000 0.000
Li 0.500 0.500 0.500

Summary:
For the calculated volume, the calculation gives 104.9 Å³/cell. The space-group type is Pm-3m.

=====

<B>
VASP calculation (PBE-GGA) on LiHg3B after structural relaxation.

a b c (Å): 4.968 4.968 4.968
angles (deg): 90.00 90.00 90.00
Positions (direct):
B 0.500 0.500 0.500
Hg 0.000 0.500 0.000
Hg 0.000 0.000 0.500
Hg 0.500 0.000 0.000
Li 0.000 0.000 0.000

Summary:
For the calculated volume, the calculation gives 122.6 Å³/cell. The space-group type is Pm-3m.

=====

Most stable: <A>

=====

<A>
VASP calculation (PBE-GGA) on MgHgB3 after structural relaxation.

a b c (Å): 4.434 4.434 4.434
angles (deg): 90.00 90.00 90.00
Positions (direct):
Mg 0.000 0.000 0.000
B 0.000 0.500 0.000
B 0.000 0.000 0.500
B 0.500 0.000 0.000
Hg 0.500 0.500 0.500

Summary:
For the calculated volume, the calculation gives 87.2 Å³/cell. The space-group type is Pm-3m.

=====

<B>
VASP calculation (PBE-GGA) on MgHgB3 after structural relaxation.

a b c (Å): 4.428 4.428 4.428
angles (deg): 90.00 90.00 90.00
Positions (direct):
Mg 0.500 0.500 0.500
B 0.000 0.500 0.000
B 0.000 0.000 0.500
B 0.500 0.000 0.000
Hg 0.000 0.000 0.000

Summary:
For the calculated volume, the calculation gives 86.8 Å³/cell. The space-group type is Pm-3m.

=====

Most stable: <B>

=====

<A>
VASP calculation (PBE-GGA) on MgHg3B after structural relaxation.

a b c (Å): 4.762 4.762 4.762
angles (deg): 90.00 90.00 90.00
Positions (direct):
Mg 0.500 0.500 0.500
B 0.000 0.000 0.000
Hg 0.000 0.500 0.000
Hg 0.000 0.000 0.500
Hg 0.500 0.000 0.000

Summary:
For the calculated volume, the calculation gives 108.0 Å³/cell. The space-group type is Pm-3m.

=====

<B>
VASP calculation (PBE-GGA) on MgHg3B after structural relaxation.

a b c (Å): 5.402 5.402 5.402
angles (deg): 90.00 90.00 90.00
Each line ends with the local moment (μB).
Positions (direct):
Mg 0.000 0.000 0.000  0.00
B 0.500 0.500 0.500  0.18
Hg 0.000 0.500 0.000  0.02
Hg 0.000 0.000 0.500  0.01
Hg 0.500 0.000 0.000  0.01

Summary:
For the calculated volume, the calculation gives 157.7 Å³/cell. The space-group type is Pm-3m.

=====

Most stable: <A>

=====

<A>
VASP calculation (PBE-GGA) on MgHgB2 after structural relaxation.

a b c (Å): 4.286 4.286 4.286
angles (deg): 60.00 60.00 60.00
Positions (direct):
Mg 0.000 0.000 0.000
B 0.250 0.250 0.250
B 0.750 0.750 0.750
Hg 0.500 0.500 0.500

Summary:
For the calculated volume, the calculation gives 55.7 Å³/cell. The space-group type is Fm-3m.

=====

<B>
VASP calculation (PBE-GGA) on MgHgB2 after structural relaxation.

a b c (Å): 3.634 3.634 9.930
angles (deg): 79.46 79.46 90.00
Positions (direct):
Mg 0.500 0.500 0.000
Mg 0.250 0.750 0.500
B 0.875 0.125 0.250
B 0.875 0.625 0.250
B 0.375 0.125 0.750
B 0.875 0.125 0.750
Hg 0.000 0.000 0.000
Hg 0.750 0.250 0.500

Summary:
For the calculated volume, the calculation gives 126.7 Å³/cell. The space-group type is I4_1/amd.

=====

Most stable: <B>

=====

<A>
VASP calculation (PBE-GGA) on MnHg3B after structural relaxation.

a b c (Å): 4.687 4.687 4.687
angles (deg): 90.00 90.00 90.00
Each line ends with the local moment (μB).
Positions (direct):
B 0.000 0.000 0.000  0.02
Mn 0.500 0.500 0.500  4.21
Hg 0.000 0.500 0.000  -0.02
Hg 0.000 0.000 0.500  -0.03
Hg 0.500 0.000 0.000  0.00

Summary:
For the calculated volume, the calculation gives 103.0 Å³/cell. The space-group type is Pm-3m.

=====

<B>
VASP calculation (PBE-GGA) on MnHg3B after structural relaxation.

a b c (Å): 5.208 5.208 5.208
angles (deg): 90.00 90.00 90.00
Each line ends with the local moment (μB).
Positions (direct):
B 0.500 0.500 0.500  -0.27
Mn 0.000 0.000 0.000  3.52
Hg 0.000 0.500 0.000  0.00
Hg 0.000 0.000 0.500  -0.01
Hg 0.500 0.000 0.000  -0.04

Summary:
For the calculated volume, the calculation gives 141.2 Å³/cell. The space-group type is Pm-3m.

=====

Most stable: <A>

=====

<A>
VASP calculation (PBE-GGA) on MnHgB3 after structural relaxation.

a b c (Å): 3.919 3.919 3.919
angles (deg): 90.00 90.00 90.00
Positions (direct):
B 0.000 0.500 0.000
B 0.000 0.000 0.500
B 0.500 0.000 0.000
Mn 0.000 0.000 0.000
Hg 0.500 0.500 0.500

Summary:
For the calculated volume, the calculation gives 60.2 Å³/cell. The space-group type is Pm-3m.

=====

<B>
VASP calculation (PBE-GGA) on MnHgB3 after structural relaxation.

a b c (Å): 4.352 4.352 4.352
angles (deg): 90.00 90.00 90.00
Each line ends with the local moment (μB).
Positions (direct):
B 0.000 0.500 0.000  -0.04
B 0.000 0.000 0.500  -0.03
B 0.500 0.000 0.000  -0.01
Mn 0.500 0.500 0.500  4.22
Hg 0.000 0.000 0.000  0.02

Summary:
For the calculated volume, the calculation gives 82.4 Å³/cell. The space-group type is Pm-3m.

=====

Most stable: <A>

=====

<A>
VASP calculation (PBE-GGA) on Mn2HgB after structural relaxation.

a b c (Å): 4.305 4.305 4.305
angles (deg): 60.00 60.00 60.00
Each line ends with the local moment (μB).
Positions (direct):
B 0.000 0.000 0.000  -0.13
Mn 0.250 0.250 0.250  3.41
Mn 0.750 0.750 0.750  3.41
Hg 0.500 0.500 0.500  0.01

Summary:
For the calculated volume, the calculation gives 56.4 Å³/cell. The space-group type is Fm-3m.

=====

<B>
VASP calculation (PBE-GGA) on Mn2HgB after structural relaxation.

a b c (Å): 6.473 6.473 5.327
angles (deg): 52.59 52.59 90.00
Each line ends with the local moment (μB).
Positions (direct):
B 0.500 0.500 0.000  -0.23
B 0.250 0.750 0.500  -0.23
Mn 0.211 0.125 0.250  2.93
Mn 0.539 0.625 0.250  2.93
Mn 0.375 0.789 0.750  2.91
Mn 0.875 0.461 0.750  2.90
Hg 0.000 0.000 0.000  -0.02
Hg 0.750 0.250 0.500  -0.03

Summary:
For the calculated volume, the calculation gives 114.2 Å³/cell. The space-group type is I-42d.

=====

Most stable: <B>

=====

<A>
VASP calculation (PBE-GGA) on Hg2BN after structural relaxation.

a b c (Å): 4.405 4.405 4.405
angles (deg): 60.00 60.00 60.00
Positions (direct):
B 0.000 0.000 0.000
Hg 0.250 0.250 0.250
Hg 0.750 0.750 0.750
N 0.500 0.500 0.500

Summary:
For the calculated volume, the calculation gives 60.4 Å³/cell. The space-group type is Fm-3m.

=====

<B>
VASP calculation (PBE-GGA) on Hg2BN after structural relaxation.

a b c (Å): 5.685 5.685 5.860
angles (deg): 60.98 60.98 90.00
Positions (direct):
B 0.500 0.500 0.000
B 0.250 0.750 0.500
Hg 0.627 0.125 0.250
Hg 0.123 0.625 0.250
Hg 0.375 0.373 0.750
Hg 0.875 0.877 0.750
N 0.000 0.000 0.000
N 0.750 0.250 0.500

Summary:
For the calculated volume, the calculation gives 137.8 Å³/cell. The space-group type is I-42d.

=====

Most stable: <B>

=====

<A>
VASP calculation (PBE-GGA) on Hg2B2N after structural relaxation.

a b c (Å): 5.060 5.060 5.898
angles (deg): 90.00 90.00 90.00
Positions (direct):
B 0.374 0.874 0.000
B 0.874 0.626 0.000
B 0.626 0.126 0.000
B 0.126 0.374 0.000
Hg 0.188 0.688 0.500
Hg 0.688 0.812 0.500
Hg 0.812 0.312 0.500
Hg 0.312 0.188 0.500
N 0.000 0.000 0.000
N 0.500 0.500 0.000

Summary:
For the calculated volume, the calculation gives 151.0 Å³/cell. The space-group type is P4/mbm.

=====

<B>
VASP calculation (PBE-GGA) on Hg2B2N after structural relaxation.

a b c (Å): 4.326 4.326 6.050
angles (deg): 69.05 69.05 90.00
Positions (direct):
B 0.128 0.128 0.744
B 0.872 0.872 0.256
Hg 0.750 0.250 0.500
Hg 0.250 0.750 0.500
N 0.000 0.000 0.000

Summary:
For the calculated volume, the calculation gives 97.7 Å³/cell. The space-group type is I4/mmm.

=====

Most stable: <B>

=====

<A>
VASP calculation (PBE-GGA) on HgB2N after structural relaxation.

a b c (Å): 4.064 4.064 4.064
angles (deg): 60.00 60.00 60.00
Positions (direct):
B 0.250 0.250 0.250
B 0.750 0.750 0.750
Hg 0.500 0.500 0.500
N 0.000 0.000 0.000

Summary:
For the calculated volume, the calculation gives 47.5 Å³/cell. The space-group type is Fm-3m.

=====

<B>
VASP calculation (PBE-GGA) on HgB2N after structural relaxation.

a b c (Å): 4.701 4.701 5.051
angles (deg): 62.26 62.26 90.00
Positions (direct):
B 0.506 0.125 0.250
B 0.244 0.625 0.250
B 0.375 0.494 0.750
B 0.875 0.756 0.750
Hg 0.000 0.000 0.000
Hg 0.750 0.250 0.500
N 0.500 0.500 0.000
N 0.250 0.750 0.500

Summary:
For the calculated volume, the calculation gives 84.1 Å³/cell. The space-group type is I-42d.

=====

Most stable: <B>